# NaPaIn2Cl8 | Alexandria via LeMat-Bulk | GGA-PBE | optimized geometry
# - Volume: 36.7 Å³ per atom
data_NaPaIn2Cl8
_cell_length_a 6.8971
_cell_length_b 7.1774
_cell_length_c 8.9386
_cell_angle_alpha 89.92
_cell_angle_beta 90.05
_cell_angle_gamma 96.19
_space_group_name_H-M_alt 'P 1'
_space_group_IT_number 1
loop_
_space_group_symop_operation_xyz
'x,y,z'
loop_
_atom_site_label
_atom_site_type_symbol
_atom_site_fract_x
_atom_site_fract_y
_atom_site_fract_z
_atom_site_occupancy
Na1 Na 0.0000 0.0000 0.5000 1
Pa1 Pa 0.0000 0.0000 0.0000 1
In1 In 0.4998 0.4995 0.7292 1
In2 In 0.5002 0.5005 0.2708 1
Cl1 Cl 0.1130 0.7871 0.2083 1
Cl2 Cl 0.6657 0.8129 0.9994 1
Cl3 Cl 0.8863 0.2118 0.2083 1
Cl4 Cl 0.8870 0.2129 0.7917 1
Cl5 Cl 0.3343 0.1871 0.0006 1
Cl6 Cl 0.1137 0.7882 0.7917 1
Cl7 Cl 0.6782 0.7344 0.5002 1
Cl8 Cl 0.3218 0.2656 0.4998 1



# Na2InPbCl5 | Alexandria via LeMat-Bulk | GGA-PBE | optimized geometry
# - Volume: 31.2 Å³ per atom
data_Na2InPbCl5
_cell_length_a 4.0902
_cell_length_b 9.2043
_cell_length_c 15.3171
_cell_angle_alpha 90.00
_cell_angle_beta 90.00
_cell_angle_gamma 102.84
_space_group_name_H-M_alt 'P 1'
_space_group_IT_number 1
loop_
_space_group_symop_operation_xyz
'x,y,z'
loop_
_atom_site_label
_atom_site_type_symbol
_atom_site_fract_x
_atom_site_fract_y
_atom_site_fract_z
_atom_site_occupancy
Na1 Na 0.8360 0.6720 0.7480 1
Na2 Na 0.0103 0.0207 0.6597 1
Na3 Na 0.1640 0.3280 0.2480 1
Na4 Na 0.9897 0.9793 0.1597 1
In1 In 0.5674 0.1348 0.9252 1
In2 In 0.4326 0.8652 0.4252 1
Pb1 Pb 0.7170 0.4341 0.5386 1
Pb2 Pb 0.2830 0.5659 0.0386 1
Cl1 Cl 0.4426 0.8852 0.0480 1
Cl2 Cl 0.7639 0.5279 0.9076 1
Cl3 Cl 0.4452 0.8904 0.7624 1
Cl4 Cl 0.2238 0.4477 0.6776 1
Cl5 Cl 0.8794 0.7588 0.5569 1
Cl6 Cl 0.5574 0.1148 0.5480 1
Cl7 Cl 0.2361 0.4721 0.4076 1
Cl8 Cl 0.5548 0.1096 0.2624 1
Cl9 Cl 0.7762 0.5523 0.1776 1
Cl10 Cl 0.1206 0.2412 0.0569 1



# NaInPbCl6 | Alexandria via LeMat-Bulk | GGA-PBE | optimized geometry
# - Volume: 28.5 Å³ per atom
data_NaInPbCl6
_cell_length_a 6.9233
_cell_length_b 6.9233
_cell_length_c 12.3477
_cell_angle_alpha 90.00
_cell_angle_beta 90.00
_cell_angle_gamma 120.00
_space_group_name_H-M_alt 'P 1'
_space_group_IT_number 1
loop_
_space_group_symop_operation_xyz
'x,y,z'
loop_
_atom_site_label
_atom_site_type_symbol
_atom_site_fract_x
_atom_site_fract_y
_atom_site_fract_z
_atom_site_occupancy
Na1 Na 0.3333 0.6667 0.2500 1
Na2 Na 0.6667 0.3333 0.7500 1
In1 In 0.6667 0.3333 0.2500 1
In2 In 0.3333 0.6667 0.7500 1
Pb1 Pb 0.0000 0.0000 0.0000 1
Pb2 Pb 0.0000 0.0000 0.5000 1
Cl1 Cl 0.6604 0.6335 0.1312 1
Cl2 Cl 0.9731 0.3396 0.1312 1
Cl3 Cl 0.3396 0.9731 0.6312 1
Cl4 Cl 0.0269 0.6604 0.8688 1
Cl5 Cl 0.3665 0.3396 0.3688 1
Cl6 Cl 0.9731 0.6335 0.3688 1
Cl7 Cl 0.6335 0.9731 0.8688 1
Cl8 Cl 0.6604 0.0269 0.3688 1
Cl9 Cl 0.0269 0.3665 0.6312 1
Cl10 Cl 0.3665 0.0269 0.1312 1
Cl11 Cl 0.6335 0.6604 0.6312 1
Cl12 Cl 0.3396 0.3665 0.8688 1



# NaPmIn2Cl6 | Alexandria via LeMat-Bulk | GGA-PBE | optimized geometry
# - Volume: 30.6 Å³ per atom
data_NaPmIn2Cl6
_cell_length_a 7.3759
_cell_length_b 7.8038
_cell_length_c 10.6410
_cell_angle_alpha 90.00
_cell_angle_beta 88.98
_cell_angle_gamma 90.00
_space_group_name_H-M_alt 'P 1'
_space_group_IT_number 1
loop_
_space_group_symop_operation_xyz
'x,y,z'
loop_
_atom_site_label
_atom_site_type_symbol
_atom_site_fract_x
_atom_site_fract_y
_atom_site_fract_z
_atom_site_occupancy
Na1 Na 0.5000 0.0000 0.0000 1
Na2 Na 0.0000 0.5000 0.5000 1
Pm1 Pm 0.5000 0.0000 0.5000 1
Pm2 Pm 0.0000 0.5000 0.0000 1
In1 In 0.0200 0.9281 0.2586 1
In2 In 0.5200 0.5719 0.7586 1
In3 In 0.9800 0.0719 0.7414 1
In4 In 0.4800 0.4281 0.2414 1
Cl1 Cl 0.3029 0.6894 0.0459 1
Cl2 Cl 0.8029 0.8106 0.5459 1
Cl3 Cl 0.6971 0.3106 0.9541 1
Cl4 Cl 0.1971 0.1894 0.4541 1
Cl5 Cl 0.3119 0.7092 0.4443 1
Cl6 Cl 0.8119 0.7908 0.9443 1
Cl7 Cl 0.6881 0.2908 0.5557 1
Cl8 Cl 0.1881 0.2092 0.0557 1
Cl9 Cl 0.8933 0.5314 0.2461 1
Cl10 Cl 0.3933 0.9686 0.7461 1
Cl11 Cl 0.1067 0.4686 0.7539 1
Cl12 Cl 0.6067 0.0314 0.2539 1



no.,VASP energy (eV per atom)
1,-4.08
2,-3.36
3,-3.36
4,-3.87